The following is a DFT calculation (PBE with a Hubbard U) of crystalline CsMnInF6 at its relaxed geometry.

The space group is Imma (No. 74) and the conventional cell measures 7.7416, 7.9762 and 11.1570 Å, with angles of 90.00, 90.00 and 90.00 degrees. The inequivalent atoms are Cs at (0.0000, 0.2500, 0.1008), Mn at (0.2500, 0.2500, 0.7500), In at (0.0000, 0.0000, 0.5000), F at (0.0000, 0.2500, 0.4292), F at (0.0000, 0.2500, 0.8195) and F at (0.1975, 0.0534, 0.6216).

The theoretical density is 4.02 Mg/m³. For the final energy, the calculation gives -5.168 eV per atom.